V4AsC2 | GGA-PBE | relaxed

D(E_F)	6.77	states/eV/f.u.
V	245.1	Å³ per cell
relative energy among the computed polymorphs	98	meV per atom

Lattice parameters (Å, degrees): 2.9938 2.9938 31.5807 90.00 90.00 120.00
With the nearest neighbours (Å) after each atom.
Space group R-3m (No. 166, hexagonal axes)
Unique sites:
1 V 0.0000 0.0000 0.1305 [6 per cell]  3 C 2.03
2 V 0.0000 0.0000 0.2713 [6 per cell]  3 C 2.04
3 As 0.0000 0.0000 0.0000 [3 per cell]  6 V 2.61
4 C 0.0000 0.0000 0.4300 [6 per cell]  6 V 2.03-2.04